Here is HfNb4Ga4 after structural relaxation from Alexandria. Energies are from PBE.

Computed properties:
The value obtained for the total moment is 0.000 μB per atom. The volume is 322 Å³/cell. The formation energy comes out at -0.09 eV/atom.

Cell lengths 5.171, 7.892, 7.892 Å; angles 90.00, 90.00, 90.00 degrees
Atoms (fractional coordinates):
Hf 0.000 0.000 0.000
Hf 0.500 0.500 0.500
Nb 0.382 0.447 0.843
Nb 0.882 0.657 0.947
Nb 0.382 0.553 0.157
Nb 0.118 0.053 0.657
Nb 0.618 0.843 0.553
Nb 0.118 0.947 0.343
Nb 0.882 0.343 0.053
Nb 0.618 0.157 0.447
Ga 0.595 0.878 0.202
Ga 0.595 0.122 0.798
Ga 0.095 0.702 0.622
Ga 0.905 0.378 0.702
Ga 0.905 0.622 0.298
Ga 0.405 0.202 0.122
Ga 0.405 0.798 0.878
Ga 0.095 0.298 0.378


Here is Hf12NbGa6 after structural relaxation from Alexandria. Energies are from PBE.

Computed properties:
The value obtained for the total moment is 0.000 μB per atom. The volume is 381 Å³/cell. The formation energy comes out at -0.18 eV/atom.

Cell lengths 8.058, 8.058, 8.058 Å; angles 110.82, 110.82, 110.82 degrees
Atoms (fractional coordinates):
Hf 0.803 0.672 0.537
Hf 0.537 0.803 0.672
Hf 0.672 0.537 0.803
Hf 0.197 0.328 0.463
Hf 0.463 0.197 0.328
Hf 0.328 0.463 0.197
Hf 0.918 0.830 0.275
Hf 0.170 0.725 0.082
Hf 0.725 0.082 0.170
Hf 0.082 0.170 0.725
Hf 0.830 0.275 0.918
Hf 0.275 0.918 0.830
Nb 0.000 0.000 0.000
Ga 0.626 0.921 0.406
Ga 0.594 0.374 0.079
Ga 0.079 0.594 0.374
Ga 0.374 0.079 0.594
Ga 0.406 0.626 0.921
Ga 0.921 0.406 0.626


Here is Hf2Nb2Ga5 after structural relaxation from Alexandria. Energies are from PBE.

Computed properties:
The value obtained for the total moment is 0.000 μB per atom. The volume is 164 Å³/cell. The formation energy comes out at -0.18 eV/atom.

Cell lengths 5.140, 6.738, 7.831 Å; angles 134.35, 90.00, 112.42 degrees
Atoms (fractional coordinates):
Hf 0.108 0.216 0.778
Hf 0.892 0.784 0.222
Nb 0.338 0.676 0.347
Nb 0.662 0.324 0.653
Ga 0.441 0.882 0.117
Ga 0.559 0.118 0.883
Ga 0.240 0.479 0.582
Ga 0.760 0.521 0.418
Ga 0.000 0.000 0.000


Here is HfNb2Ga8 after structural relaxation from Alexandria. Energies are from PBE.

Computed properties:
The value obtained for the total moment is 0.000 μB per atom. The volume is 192 Å³/cell. The formation energy comes out at -0.05 eV/atom.

Cell lengths 5.849, 5.512, 7.564 Å; angles 68.63, 78.79, 57.74 degrees
Atoms (fractional coordinates):
Hf 0.500 0.000 0.000
Nb 0.000 0.323 0.355
Nb 0.000 0.677 0.645
Ga 0.748 0.038 0.264
Ga 0.748 0.301 0.736
Ga 0.158 0.595 0.000
Ga 0.500 0.776 0.447
Ga 0.500 0.224 0.553
Ga 0.842 0.405 0.000
Ga 0.252 0.699 0.264
Ga 0.252 0.962 0.736


Here is Hf3Nb2Ga3 after structural relaxation from Alexandria. Energies are from PBE.

Computed properties:
The value obtained for the total moment is 0.000 μB per atom. The volume is 298 Å³/cell. The formation energy comes out at -0.47 eV/atom.

Cell lengths 7.933, 7.933, 5.476 Å; angles 90.00, 90.00, 120.00 degrees
Atoms (fractional coordinates):
Hf 0.754 0.754 0.250
Hf 0.754 0.000 0.750
Hf 0.000 0.246 0.250
Hf 0.246 0.246 0.750
Hf 0.246 0.000 0.250
Hf 0.000 0.754 0.750
Nb 0.667 0.333 0.000
Nb 0.667 0.333 0.500
Nb 0.333 0.667 0.500
Nb 0.333 0.667 0.000
Ga 0.603 0.000 0.250
Ga 0.603 0.603 0.750
Ga 0.000 0.397 0.750
Ga 0.000 0.603 0.250
Ga 0.397 0.397 0.250
Ga 0.397 0.000 0.750


Here is HfNbGa2 after structural relaxation from Alexandria. Energies are from PBE.

Computed properties:
For the polymorph energy (0 for the lowest one), the calculation gives 336 meV per atom. The value obtained for the total moment is 0.000 μB per atom. The volume is 77 Å³/cell. The formation energy comes out at -0.10 eV/atom.

Cell lengths 3.641, 3.641, 6.989 Å; angles 74.90, 74.90, 60.00 degrees
Atoms (fractional coordinates):
Nb 0.000 0.000 0.000
Hf 0.500 0.500 0.500
Ga 0.254 0.254 0.239
Ga 0.746 0.746 0.761


Here is HfNb2Ga4 after structural relaxation from Alexandria. Energies are from PBE.

Computed properties:
The value obtained for the total moment is 0.000 μB per atom. The volume is 252 Å³/cell. The formation energy comes out at -0.24 eV/atom.

Cell lengths 5.450, 6.877, 8.799 Å; angles 127.80, 91.02, 100.94 degrees
Atoms (fractional coordinates):
Hf 0.152 0.820 0.458
Hf 0.158 0.832 0.032
Nb 0.569 0.376 0.762
Nb 0.713 0.025 0.344
Nb 0.566 0.385 0.280
Nb 0.051 0.305 0.739
Ga 0.040 0.297 0.222
Ga 0.357 0.556 0.105
Ga 0.915 0.583 0.625
Ga 0.661 0.888 0.592
Ga 0.265 0.214 0.438
Ga 0.305 0.052 0.852
Ga 0.658 0.897 0.962
Ga 0.842 0.520 0.088


Here is Hf2Nb3Ga4 after structural relaxation from Alexandria. Energies are from PBE.

Computed properties:
For the polymorph energy (0 for the lowest one), the calculation gives 270 meV per atom. The value obtained for the total moment is 0.000 μB per atom. The volume is 334 Å³/cell. The formation energy comes out at -0.18 eV/atom.

Cell lengths 5.693, 7.991, 7.875 Å; angles 90.00, 111.19, 90.00 degrees
Atoms (fractional coordinates):
Hf 0.125 0.585 0.251
Hf 0.875 0.415 0.749
Hf 0.375 0.085 0.749
Hf 0.625 0.915 0.251
Nb 0.000 0.000 0.000
Nb 0.500 0.500 0.000
Nb 0.553 0.750 0.606
Nb 0.947 0.250 0.394
Nb 0.447 0.250 0.394
Nb 0.053 0.750 0.606
Ga 0.731 0.750 0.962
Ga 0.769 0.250 0.038
Ga 0.269 0.250 0.038
Ga 0.231 0.750 0.962
Ga 0.182 0.941 0.364
Ga 0.818 0.059 0.636
Ga 0.318 0.441 0.636
Ga 0.682 0.559 0.364